Record 1
# Tb5Pm6Pu (PBE, optimized geometry)
# Electronic total energy in eV per cell: -130.87
data_Tb5Pm6Pu
_chemical_formula_sum 'Tb10 Pm12 Pu2'
_symmetry_space_group_name_H-M 'C 1 2/m 1'
_symmetry_Int_Tables_number 12
_symmetry_space_group_name_Hall '-C 2y'
_cell_length_a 6.2377
_cell_length_b 10.8100
_cell_length_c 11.8417
_cell_angle_alpha 90.00
_cell_angle_beta 100.14
_cell_angle_gamma 90.00
loop_
_atom_site_label
_atom_site_type_symbol
_atom_site_fract_x
_atom_site_fract_y
_atom_site_fract_z
Tb1 Tb 0.0000 0.0000 0.0000
Tb2 Tb 0.0000 0.1665 0.5000
Tb3 Tb 0.0000 0.3334 0.0000
Pm1 Pm 0.2472 0.3351 0.7480
Pm2 Pm 0.2472 0.5000 0.2521
Pu1 Pu 0.0000 0.5000 0.5000


Record 2
# Pr2Nd4Dy5 (PBE, optimized geometry)
# Electronic total energy in eV per cell: -101.09
# ΔE to the lowest computed polymorph in meV per atom: 0
data_Pr2Nd4Dy5
_chemical_formula_sum 'Pr4 Nd8 Dy10'
_symmetry_space_group_name_H-M 'C 1 2/m 1'
_symmetry_Int_Tables_number 12
_symmetry_space_group_name_Hall '-C 2y'
_cell_length_a 19.7820
_cell_length_b 5.9031
_cell_length_c 6.4054
_cell_angle_alpha 90.00
_cell_angle_beta 95.11
_cell_angle_gamma 90.00
loop_
_atom_site_label
_atom_site_type_symbol
_atom_site_fract_x
_atom_site_fract_y
_atom_site_fract_z
Pr1 Pr 0.0990 0.0000 0.0427
Nd1 Nd 0.0358 0.5000 0.7677
Nd2 Nd 0.1941 0.0000 0.5726
Dy1 Dy 0.0000 0.0000 0.5000
Dy2 Dy 0.1308 0.5000 0.3544
Dy3 Dy 0.2143 0.5000 0.8928